(1)
CaTb2HfO6 | GGA-PBE | optimized geometry

Calculated values
The calculation puts the total energy at -8.5366 eV per atom.

Structure (POSCAR):
```
CaTb2HfO6
1.0
2.872 1.658 5.015
-2.872 1.658 5.015
0.000 -3.317 5.015
Ca Tb Hf O
1 2 1 6
direct
0.000 0.000 0.000
0.219 0.219 0.219
0.722 0.722 0.722
0.510 0.510 0.510
0.146 0.409 0.786
0.331 0.885 0.602
0.409 0.786 0.146
0.602 0.331 0.885
0.786 0.146 0.409
0.885 0.602 0.331
```

=====

(2)
CaHfTeO5 | GGA-PBE | optimized geometry

Calculated values
The calculation puts the total energy at -7.4014 eV per atom.

Structure (POSCAR):
```
CaHfTeO5
1.0
3.946 -4.432 0.000
3.946 4.432 0.000
-3.645 0.000 7.171
Ca Hf Te O
2 2 2 10
direct
0.055 0.945 0.750
0.945 0.055 0.250
0.000 0.500 0.000
0.500 0.000 0.500
0.445 0.555 0.750
0.555 0.445 0.250
0.206 0.634 0.862
0.212 0.246 0.038
0.227 0.773 0.250
0.246 0.212 0.538
0.366 0.794 0.638
0.634 0.206 0.362
0.754 0.788 0.462
0.773 0.227 0.750
0.788 0.754 0.962
0.794 0.366 0.138
```

=====

(3)
CaHfTeO6 | GGA-PBE | optimized geometry

Calculated values
The calculation puts the total energy at -7.3521 eV per atom.

Structure (POSCAR):
```
CaHfTeO6
1.0
5.389 0.000 0.000
-2.694 4.667 0.000
0.000 0.000 10.029
Ca Hf Te O
2 2 2 12
direct
0.000 0.000 0.000
0.000 0.000 0.500
0.333 0.667 0.250
0.667 0.333 0.750
0.333 0.667 0.750
0.667 0.333 0.250
0.020 0.379 0.641
0.020 0.641 0.859
0.359 0.379 0.859
0.359 0.980 0.641
0.379 0.020 0.141
0.379 0.359 0.359
0.621 0.641 0.641
0.621 0.980 0.859
0.641 0.020 0.359
0.641 0.621 0.141
0.980 0.359 0.141
0.980 0.621 0.359
```

=====

(4)
Ca2HfTiO6 | GGA-PBE | optimized geometry

Calculated values
The calculation puts the total energy at -8.4194 eV per atom.

Structure (POSCAR):
```
Ca2HfTiO6
1.0
5.500 0.000 0.000
0.000 5.641 0.000
-5.470 0.000 7.857
Ca Hf Ti O
4 2 2 12
direct
0.238 0.047 0.250
0.238 0.453 0.750
0.762 0.547 0.250
0.762 0.953 0.750
0.500 0.000 0.000
0.500 0.500 0.500
0.000 0.000 0.500
0.000 0.500 0.000
0.149 0.212 0.951
0.149 0.288 0.451
0.242 0.700 0.953
0.242 0.800 0.453
0.334 0.028 0.744
0.334 0.472 0.244
0.666 0.528 0.756
0.666 0.972 0.256
0.758 0.200 0.547
0.758 0.300 0.047
0.851 0.712 0.549
0.851 0.788 0.049
```

=====

(5)
Ca2HfTiO6 | GGA-PBE | optimized geometry

Calculated values
The calculation puts the total energy at -8.3151 eV per atom.

Structure (POSCAR):
```
Ca2HfTiO6
1.0
0.000 3.995 3.995
3.995 0.000 3.995
3.995 3.995 0.000
Ca Hf Ti O
2 1 1 6
direct
0.250 0.250 0.250
0.750 0.750 0.750
0.000 0.000 0.000
0.500 0.500 0.500
0.256 0.256 0.744
0.256 0.744 0.256
0.256 0.744 0.744
0.744 0.256 0.256
0.744 0.256 0.744
0.744 0.744 0.256
```

=====

(6)
Ca2TmHfO6 | GGA-PBE | optimized geometry

Calculated values
The calculation puts the total energy at -7.9290 eV per atom.

Structure (POSCAR):
```
Ca2TmHfO6
1.0
5.695 0.000 0.000
0.000 5.909 0.000
-5.686 0.000 8.100
Ca Tm Hf O
4 2 2 12
direct
0.228 0.054 0.247
0.228 0.446 0.747
0.772 0.554 0.253
0.772 0.946 0.753
0.000 0.000 0.500
0.000 0.500 0.000
0.500 0.000 0.000
0.500 0.500 0.500
0.147 0.196 0.938
0.147 0.304 0.438
0.238 0.713 0.930
0.238 0.787 0.430
0.382 0.052 0.759
0.382 0.448 0.259
0.618 0.552 0.741
0.618 0.948 0.241
0.762 0.213 0.570
0.762 0.287 0.070
0.853 0.696 0.562
0.853 0.804 0.062
```

=====

(7)
CaHf2UO8 | GGA-PBE | optimized geometry

Calculated values
The calculation puts the total energy at -9.3853 eV per atom.

Structure (POSCAR):
```
CaHf2UO8
1.0
3.508 -3.565 0.000
3.508 3.565 0.000
0.000 0.000 6.656
Ca Hf U O
1 2 1 8
direct
0.000 0.000 0.000
0.500 0.500 0.241
0.500 0.500 0.759
0.000 0.000 0.500
0.202 0.202 0.276
0.202 0.202 0.724
0.306 0.694 0.500
0.322 0.678 0.000
0.678 0.322 0.000
0.694 0.306 0.500
0.798 0.798 0.276
0.798 0.798 0.724
```